# 1
Compound: TbGdTlTe3
Source: OQMD via LeMat-Bulk
Functional: PBE-GGA
Structure: optimized geometry

The value obtained for the volume is 34.4 Å³ per atom. The electronic total energy comes out at -4.488 eV/atom. The value obtained for the energy above the most stable polymorph in this dataset is 0.0 meV per atom. The value obtained for the density is 7.26 g/cm3.

The space group is Cmcm (No. 63) and the conventional cell measures 4.448, 15.350 and 12.101 Å, with angles of 90.00, 90.00 and 90.00 degrees. The inequivalent atoms are Tb at (0.000, 0.068, 0.250), Gd at (0.000, 0.500, 0.000), Tl at (0.000, 0.243, 0.750), Te at (0.000, 0.144, 0.027) and Te at (0.000, 0.437, 0.250).

# 2
Compound: TbGdTlTe3
Source: OQMD via LeMat-Bulk
Functional: PBE-GGA
Structure: optimized geometry

The value obtained for the volume is 34.4 Å³ per atom. The electronic total energy comes out at -4.484 eV/atom. The value obtained for the energy above the most stable polymorph in this dataset is 3.9 meV per atom. The value obtained for the density is 7.27 g/cm3.

The space group is Cmcm (No. 63) and the conventional cell measures 4.437, 15.397 and 12.078 Å, with angles of 90.00, 90.00 and 90.00 degrees. The inequivalent atoms are Tb at (0.000, 0.000, 0.000), Gd at (0.000, 0.430, 0.250), Tl at (0.000, 0.258, 0.750), Te at (0.000, 0.062, 0.250) and Te at (0.000, 0.357, 0.024).

# 3
Compound: TbGdTl
Source: OQMD via LeMat-Bulk
Functional: PBE-GGA
Structure: optimized geometry

The value obtained for the volume is 33.0 Å³ per atom. The electronic total energy comes out at -3.923 eV/atom. The value obtained for the energy above the most stable polymorph in this dataset is 0.0 meV per atom. The value obtained for the density is 8.73 g/cm3.

The space group is F-43m (No. 216) and the conventional cell measures 7.342, 7.342 and 7.342 Å, with angles of 90.00, 90.00 and 90.00 degrees. The inequivalent atoms are Tb at (0.000, 0.000, 0.000), Gd at (0.000, 0.000, 0.500) and Tl at (0.250, 0.250, 0.750).

# 4
Compound: TbGdTl2
Source: OQMD via LeMat-Bulk
Functional: PBE-GGA
Structure: optimized geometry

The value obtained for the volume is 27.4 Å³ per atom. The electronic total energy comes out at -3.860 eV/atom. The value obtained for the density is 10.99 g/cm3.

The space group is P4/mmm (No. 123) and the conventional cell measures 3.599, 3.599 and 8.455 Å, with angles of 90.00, 90.00 and 90.00 degrees. The inequivalent atoms are Tb at (0.000, 0.000, 0.000), Gd at (0.000, 0.000, 0.500) and Tl at (0.500, 0.500, 0.248).

# 5
Compound: TbGdW
Source: OQMD via LeMat-Bulk
Functional: PBE-GGA
Structure: optimized geometry

The value obtained for the volume is 27.1 Å³ per atom. The electronic total energy comes out at -5.961 eV/atom. The value obtained for the density is 10.21 g/cm3. The formation energy is 4.361 eV per formula unit.

The space group is F-43m (No. 216) and the conventional cell measures 6.878, 6.878 and 6.878 Å, with angles of 90.00, 90.00 and 90.00 degrees. The inequivalent atoms are Tb at (0.000, 0.000, 0.000), Gd at (0.250, 0.250, 0.250) and W at (0.000, 0.000, 0.500).

# 6
Compound: TbGdZn2
Source: OQMD via LeMat-Bulk
Functional: PBE-GGA
Structure: optimized geometry

The value obtained for the volume is 23.0 Å³ per atom. The electronic total energy comes out at -3.293 eV/atom. The value obtained for the density is 8.08 g/cm3. The formation energy is -1.359 eV per formula unit.

The space group is P4/mmm (No. 123) and the conventional cell measures 5.054, 5.054 and 3.596 Å, with angles of 90.00, 90.00 and 90.00 degrees. The inequivalent atoms are Tb at (0.000, 0.000, 0.000), Gd at (0.500, 0.500, 0.000) and Zn at (0.000, 0.500, 0.500).

Among the records above, which one has the lowest volume? TbGdZn2